[1]
# Dy4Tm3Ni2Te2 PBE relaxed
# Distance to the lowest polymorph of the same formula in eV/f.u.: 0.00
# Symmetry: No. 44
data_Dy4Tm3Ni2Te2
_cell_length_a 9.326
_cell_length_b 9.326
_cell_length_c 9.326
_cell_angle_alpha 156.26
_cell_angle_beta 66.94
_cell_angle_gamma 118.44
_symmetry_space_group_name_H-M 'P 1'
_symmetry_Int_Tables_number 1
loop_
_symmetry_equiv_pos_as_xyz
'x,y,z'
loop_
_atom_site_label
_atom_site_type_symbol
_atom_site_fract_x
_atom_site_fract_y
_atom_site_fract_z
Dy1 Dy 0.133 0.000 0.133
Dy2 Dy 0.500 0.148 0.353
Dy3 Dy 0.795 0.148 0.647
Dy4 Dy 0.867 0.000 0.867
Tm1 Tm 0.114 0.798 0.316
Tm2 Tm 0.418 0.418 0.000
Tm3 Tm 0.482 0.798 0.684
Ni1 Ni 0.251 0.488 0.763
Ni2 Ni 0.726 0.488 0.237
Te1 Te 0.155 0.655 0.500
Te2 Te 0.753 0.753 0.000

***

[2]
# NaBiBIr PBE relaxed
# Distance to the lowest polymorph of the same formula in eV/f.u.: 0.84
# Symmetry: No. 216
data_NaBiBIr
_cell_length_a 4.666
_cell_length_b 4.666
_cell_length_c 4.666
_cell_angle_alpha 60.00
_cell_angle_beta 60.00
_cell_angle_gamma 60.00
_symmetry_space_group_name_H-M 'P 1'
_symmetry_Int_Tables_number 1
loop_
_symmetry_equiv_pos_as_xyz
'x,y,z'
loop_
_atom_site_label
_atom_site_type_symbol
_atom_site_fract_x
_atom_site_fract_y
_atom_site_fract_z
Na1 Na 0.000 0.000 0.000
Bi1 Bi 0.500 0.500 0.500
B1 B 0.250 0.250 0.250
Ir1 Ir 0.750 0.750 0.750

***

[3]
# Dy2LuCu4Si2Ge2 PBE relaxed
# Distance to the lowest polymorph of the same formula in eV/f.u.: 0.00
# Symmetry: No. 71
data_Dy2LuCu4Si2Ge2
_cell_length_a 7.909
_cell_length_b 7.909
_cell_length_c 7.909
_cell_angle_alpha 149.67
_cell_angle_beta 131.00
_cell_angle_gamma 58.72
_symmetry_space_group_name_H-M 'P 1'
_symmetry_Int_Tables_number 1
loop_
_symmetry_equiv_pos_as_xyz
'x,y,z'
loop_
_atom_site_label
_atom_site_type_symbol
_atom_site_fract_x
_atom_site_fract_y
_atom_site_fract_z
Dy1 Dy 0.130 0.130 0.000
Dy2 Dy 0.870 0.870 0.000
Lu1 Lu 0.500 0.000 0.500
Cu1 Cu 0.135 0.326 0.809
Cu2 Cu 0.483 0.674 0.809
Cu3 Cu 0.517 0.326 0.191
Cu4 Cu 0.865 0.674 0.191
Si1 Si 0.285 0.785 0.500
Si2 Si 0.715 0.215 0.500
Ge1 Ge 0.196 0.500 0.696
Ge2 Ge 0.804 0.500 0.304

***

[4]
# YCoPdPb PBE relaxed
# Distance to the lowest polymorph of the same formula in eV/f.u.: 1.07
# Symmetry: No. 216
data_YCoPdPb
_cell_length_a 4.812
_cell_length_b 4.812
_cell_length_c 4.812
_cell_angle_alpha 60.00
_cell_angle_beta 60.00
_cell_angle_gamma 60.00
_symmetry_space_group_name_H-M 'P 1'
_symmetry_Int_Tables_number 1
loop_
_symmetry_equiv_pos_as_xyz
'x,y,z'
loop_
_atom_site_label
_atom_site_type_symbol
_atom_site_fract_x
_atom_site_fract_y
_atom_site_fract_z
Y1 Y 0.000 0.000 0.000
Co1 Co 0.500 0.500 0.500
Pd1 Pd 0.750 0.750 0.750
Pb1 Pb 0.250 0.250 0.250

***

[5]
# Dy2Os PBE relaxed
# Symmetry: No. 227
data_Dy2Os
_cell_length_a 5.760
_cell_length_b 5.760
_cell_length_c 5.760
_cell_angle_alpha 60.00
_cell_angle_beta 60.00
_cell_angle_gamma 60.00
_symmetry_space_group_name_H-M 'P 1'
_symmetry_Int_Tables_number 1
loop_
_symmetry_equiv_pos_as_xyz
'x,y,z'
loop_
_atom_site_label
_atom_site_type_symbol
_atom_site_fract_x
_atom_site_fract_y
_atom_site_fract_z
Dy1 Dy 0.000 0.000 0.000
Dy2 Dy 0.000 0.000 0.500
Dy3 Dy 0.000 0.500 0.000
Dy4 Dy 0.500 0.000 0.000
Os1 Os 0.375 0.375 0.375
Os2 Os 0.625 0.625 0.625

***

[6]
# TbY2 PBE relaxed
# Distance to the lowest polymorph of the same formula in eV/f.u.: 0.00
# Symmetry: No. 227
data_TbY2
_cell_length_a 6.600
_cell_length_b 6.600
_cell_length_c 6.600
_cell_angle_alpha 60.00
_cell_angle_beta 60.00
_cell_angle_gamma 60.00
_symmetry_space_group_name_H-M 'P 1'
_symmetry_Int_Tables_number 1
loop_
_symmetry_equiv_pos_as_xyz
'x,y,z'
loop_
_atom_site_label
_atom_site_type_symbol
_atom_site_fract_x
_atom_site_fract_y
_atom_site_fract_z
Tb1 Tb 0.125 0.125 0.125
Tb2 Tb 0.875 0.875 0.875
Y1 Y 0.000 0.500 0.500
Y2 Y 0.500 0.000 0.500
Y3 Y 0.500 0.500 0.000
Y4 Y 0.500 0.500 0.500

***

[7]
# NdNi2GeSb PBE relaxed
# Symmetry: No. 129
data_NdNi2GeSb
_cell_length_a 4.293
_cell_length_b 4.293
_cell_length_c 9.951
_cell_angle_alpha 90.00
_cell_angle_beta 90.00
_cell_angle_gamma 90.00
_symmetry_space_group_name_H-M 'P 1'
_symmetry_Int_Tables_number 1
loop_
_symmetry_equiv_pos_as_xyz
'x,y,z'
loop_
_atom_site_label
_atom_site_type_symbol
_atom_site_fract_x
_atom_site_fract_y
_atom_site_fract_z
Nd1 Nd 0.250 0.250 0.239
Nd2 Nd 0.750 0.750 0.761
Ni1 Ni 0.250 0.250 0.891
Ni2 Ni 0.250 0.750 0.500
Ni3 Ni 0.750 0.250 0.500
Ni4 Ni 0.750 0.750 0.109
Ge1 Ge 0.250 0.750 0.000
Ge2 Ge 0.750 0.250 0.000
Sb1 Sb 0.250 0.250 0.637
Sb2 Sb 0.750 0.750 0.363

***

[8]
# TbHf PBE relaxed
# Symmetry: No. 225
data_TbHf
_cell_length_a 4.315
_cell_length_b 4.315
_cell_length_c 4.315
_cell_angle_alpha 60.00
_cell_angle_beta 60.00
_cell_angle_gamma 60.00
_symmetry_space_group_name_H-M 'P 1'
_symmetry_Int_Tables_number 1
loop_
_symmetry_equiv_pos_as_xyz
'x,y,z'
loop_
_atom_site_label
_atom_site_type_symbol
_atom_site_fract_x
_atom_site_fract_y
_atom_site_fract_z
Tb1 Tb 0.000 0.000 0.000
Hf1 Hf 0.500 0.500 0.500

***

[9]
# YBeBiOs PBE relaxed
# Distance to the lowest polymorph of the same formula in eV/f.u.: 0.22
# Symmetry: No. 216
data_YBeBiOs
_cell_length_a 4.775
_cell_length_b 4.775
_cell_length_c 4.775
_cell_angle_alpha 60.00
_cell_angle_beta 60.00
_cell_angle_gamma 60.00
_symmetry_space_group_name_H-M 'P 1'
_symmetry_Int_Tables_number 1
loop_
_symmetry_equiv_pos_as_xyz
'x,y,z'
loop_
_atom_site_label
_atom_site_type_symbol
_atom_site_fract_x
_atom_site_fract_y
_atom_site_fract_z
Y1 Y 0.000 0.000 0.000
Be1 Be 0.750 0.750 0.750
Bi1 Bi 0.500 0.500 0.500
Os1 Os 0.250 0.250 0.250

***

[10]
# Y2Ga2Ni3Pt PBE relaxed
# Symmetry: No. 156
data_Y2Ga2Ni3Pt
_cell_length_a 4.218
_cell_length_b 4.218
_cell_length_c 8.972
_cell_angle_alpha 90.00
_cell_angle_beta 90.00
_cell_angle_gamma 120.00
_symmetry_space_group_name_H-M 'P 1'
_symmetry_Int_Tables_number 1
loop_
_symmetry_equiv_pos_as_xyz
'x,y,z'
loop_
_atom_site_label
_atom_site_type_symbol
_atom_site_fract_x
_atom_site_fract_y
_atom_site_fract_z
Y1 Y 0.000 0.000 0.000
Y2 Y 0.333 0.667 0.491
Ga1 Ga 0.667 0.333 0.243
Ga2 Ga 0.667 0.333 0.760
Ni1 Ni 0.000 0.000 0.305
Ni2 Ni 0.333 0.667 0.181
Ni3 Ni 0.333 0.667 0.821
Pt1 Pt 0.000 0.000 0.670

***

[11]
# CsAgTe3Os PBE relaxed
# Distance to the lowest polymorph of the same formula in eV/f.u.: 0.73
# Symmetry: No. 63
data_CsAgTe3Os
_cell_length_a 8.836
_cell_length_b 8.836
_cell_length_c 10.658
_cell_angle_alpha 90.00
_cell_angle_beta 90.00
_cell_angle_gamma 153.18
_symmetry_space_group_name_H-M 'P 1'
_symmetry_Int_Tables_number 1
loop_
_symmetry_equiv_pos_as_xyz
'x,y,z'
loop_
_atom_site_label
_atom_site_type_symbol
_atom_site_fract_x
_atom_site_fract_y
_atom_site_fract_z
Cs1 Cs 0.235 0.765 0.750
Cs2 Cs 0.765 0.235 0.250
Ag1 Ag 0.453 0.547 0.250
Ag2 Ag 0.547 0.453 0.750
Te1 Te 0.064 0.936 0.250
Te2 Te 0.397 0.603 0.016
Te3 Te 0.397 0.603 0.484
Te4 Te 0.603 0.397 0.516
Te5 Te 0.603 0.397 0.984
Te6 Te 0.936 0.064 0.750
Os1 Os 0.000 0.000 0.000
Os2 Os 0.000 0.000 0.500

***

[12]
# Ta2H PBE relaxed
# Distance to the lowest polymorph of the same formula in eV/f.u.: 2.51
# Symmetry: No. 225
data_Ta2H
_cell_length_a 3.894
_cell_length_b 3.894
_cell_length_c 3.894
_cell_angle_alpha 60.00
_cell_angle_beta 60.00
_cell_angle_gamma 60.00
_symmetry_space_group_name_H-M 'P 1'
_symmetry_Int_Tables_number 1
loop_
_symmetry_equiv_pos_as_xyz
'x,y,z'
loop_
_atom_site_label
_atom_site_type_symbol
_atom_site_fract_x
_atom_site_fract_y
_atom_site_fract_z
Ta1 Ta 0.250 0.250 0.250
Ta2 Ta 0.750 0.750 0.750
H1 H 0.000 0.000 0.000

***

[13]
# La2AgO4 PBE relaxed
# Symmetry: No. 227
data_La2AgO4
_cell_length_a 7.123
_cell_length_b 7.123
_cell_length_c 7.123
_cell_angle_alpha 60.00
_cell_angle_beta 60.00
_cell_angle_gamma 60.00
_symmetry_space_group_name_H-M 'P 1'
_symmetry_Int_Tables_number 1
loop_
_symmetry_equiv_pos_as_xyz
'x,y,z'
loop_
_atom_site_label
_atom_site_type_symbol
_atom_site_fract_x
_atom_site_fract_y
_atom_site_fract_z
La1 La 0.000 0.000 0.000
La2 La 0.000 0.000 0.500
La3 La 0.000 0.500 0.000
La4 La 0.500 0.000 0.000
Ag1 Ag 0.375 0.375 0.375
Ag2 Ag 0.625 0.625 0.625
O1 O 0.212 0.763 0.763
O2 O 0.237 0.237 0.237
O3 O 0.237 0.237 0.788
O4 O 0.237 0.788 0.237
O5 O 0.763 0.212 0.763
O6 O 0.763 0.763 0.212
O7 O 0.763 0.763 0.763
O8 O 0.788 0.237 0.237

***

[14]
# Zr3Al3NiIrAu PBE relaxed
# Symmetry: No. 174
data_Zr3Al3NiIrAu
_cell_length_a 7.168
_cell_length_b 7.168
_cell_length_c 3.553
_cell_angle_alpha 90.00
_cell_angle_beta 90.00
_cell_angle_gamma 120.00
_symmetry_space_group_name_H-M 'P 1'
_symmetry_Int_Tables_number 1
loop_
_symmetry_equiv_pos_as_xyz
'x,y,z'
loop_
_atom_site_label
_atom_site_type_symbol
_atom_site_fract_x
_atom_site_fract_y
_atom_site_fract_z
Zr1 Zr 0.070 0.721 0.000
Zr2 Zr 0.279 0.349 0.000
Zr3 Zr 0.651 0.930 0.000
Al1 Al 0.420 0.090 0.500
Al2 Al 0.670 0.580 0.500
Al3 Al 0.910 0.330 0.500
Ni1 Ni 0.667 0.333 0.000
Ir1 Ir 0.333 0.667 0.500
Au1 Au 0.000 0.000 0.500

***

[15]
# CoBi2B PBE relaxed
# Symmetry: No. 216
data_CoBi2B
_cell_length_a 4.874
_cell_length_b 4.874
_cell_length_c 4.874
_cell_angle_alpha 60.00
_cell_angle_beta 60.00
_cell_angle_gamma 60.00
_symmetry_space_group_name_H-M 'P 1'
_symmetry_Int_Tables_number 1
loop_
_symmetry_equiv_pos_as_xyz
'x,y,z'
loop_
_atom_site_label
_atom_site_type_symbol
_atom_site_fract_x
_atom_site_fract_y
_atom_site_fract_z
Co1 Co 0.000 0.000 0.000
Bi1 Bi 0.250 0.250 0.250
Bi2 Bi 0.500 0.500 0.500
B1 B 0.750 0.750 0.750

***

[16]
# AcThNi PBE relaxed
# Distance to the lowest polymorph of the same formula in eV/f.u.: 0.00
# Symmetry: No. 216
data_AcThNi
_cell_length_a 5.012
_cell_length_b 5.012
_cell_length_c 5.012
_cell_angle_alpha 60.00
_cell_angle_beta 60.00
_cell_angle_gamma 60.00
_symmetry_space_group_name_H-M 'P 1'
_symmetry_Int_Tables_number 1
loop_
_symmetry_equiv_pos_as_xyz
'x,y,z'
loop_
_atom_site_label
_atom_site_type_symbol
_atom_site_fract_x
_atom_site_fract_y
_atom_site_fract_z
Ac1 Ac 0.000 0.000 0.000
Th1 Th 0.500 0.500 0.500
Ni1 Ni 0.250 0.250 0.250

***

[17]
# CuNiGeW PBE relaxed
# Distance to the lowest polymorph of the same formula in eV/f.u.: 0.00
# Symmetry: No. 216
data_CuNiGeW
_cell_length_a 4.250
_cell_length_b 4.250
_cell_length_c 4.250
_cell_angle_alpha 60.00
_cell_angle_beta 60.00
_cell_angle_gamma 60.00
_symmetry_space_group_name_H-M 'P 1'
_symmetry_Int_Tables_number 1
loop_
_symmetry_equiv_pos_as_xyz
'x,y,z'
loop_
_atom_site_label
_atom_site_type_symbol
_atom_site_fract_x
_atom_site_fract_y
_atom_site_fract_z
Cu1 Cu 0.000 0.000 0.000
Ni1 Ni 0.250 0.250 0.250
Ge1 Ge 0.750 0.750 0.750
W1 W 0.500 0.500 0.500

***

[18]
# PrMg2Al3Ge2Pt PBE relaxed
# Symmetry: No. 38
data_PrMg2Al3Ge2Pt
_cell_length_a 4.210
_cell_length_b 6.895
_cell_length_c 6.895
_cell_angle_alpha 120.38
_cell_angle_beta 90.00
_cell_angle_gamma 90.00
_symmetry_space_group_name_H-M 'P 1'
_symmetry_Int_Tables_number 1
loop_
_symmetry_equiv_pos_as_xyz
'x,y,z'
loop_
_atom_site_label
_atom_site_type_symbol
_atom_site_fract_x
_atom_site_fract_y
_atom_site_fract_z
Pr1 Pr 0.000 0.000 0.000
Mg1 Mg 0.000 0.423 0.830
Mg2 Mg 0.000 0.830 0.423
Al1 Al 0.500 0.194 0.430
Al2 Al 0.500 0.430 0.194
Al3 Al 0.500 0.663 0.663
Ge1 Ge 0.500 0.109 0.756
Ge2 Ge 0.500 0.756 0.109
Pt1 Pt 0.000 0.446 0.446

***

[19]
# LiDyMgS3 PBE relaxed
# Symmetry: No. 63
data_LiDyMgS3
_cell_length_a 6.486
_cell_length_b 6.486
_cell_length_c 10.929
_cell_angle_alpha 90.00
_cell_angle_beta 90.00
_cell_angle_gamma 144.85
_symmetry_space_group_name_H-M 'P 1'
_symmetry_Int_Tables_number 1
loop_
_symmetry_equiv_pos_as_xyz
'x,y,z'
loop_
_atom_site_label
_atom_site_type_symbol
_atom_site_fract_x
_atom_site_fract_y
_atom_site_fract_z
Li1 Li 0.245 0.755 0.750
Li2 Li 0.755 0.245 0.250
Dy1 Dy 0.500 0.500 0.000
Dy2 Dy 0.500 0.500 0.500
Mg1 Mg 0.026 0.974 0.250
Mg2 Mg 0.974 0.026 0.750
S1 S 0.138 0.862 0.074
S2 S 0.138 0.862 0.426
S3 S 0.408 0.592 0.250
S4 S 0.592 0.408 0.750
S5 S 0.862 0.138 0.574
S6 S 0.862 0.138 0.926

***

[20]
# RbPrCuTe3 PBE relaxed
# Symmetry: No. 62
data_RbPrCuTe3
_cell_length_a 12.641
_cell_length_b 4.596
_cell_length_c 13.638
_cell_angle_alpha 90.00
_cell_angle_beta 90.00
_cell_angle_gamma 90.00
_symmetry_space_group_name_H-M 'P 1'
_symmetry_Int_Tables_number 1
loop_
_symmetry_equiv_pos_as_xyz
'x,y,z'
loop_
_atom_site_label
_atom_site_type_symbol
_atom_site_fract_x
_atom_site_fract_y
_atom_site_fract_z
Rb1 Rb 0.185 0.250 0.002
Rb2 Rb 0.315 0.750 0.502
Rb3 Rb 0.685 0.250 0.498
Rb4 Rb 0.815 0.750 0.998
Pr1 Pr 0.028 0.250 0.322
Pr2 Pr 0.472 0.750 0.822
Pr3 Pr 0.528 0.250 0.178
Pr4 Pr 0.972 0.750 0.678
Cu1 Cu 0.240 0.750 0.207
Cu2 Cu 0.260 0.250 0.707
Cu3 Cu 0.740 0.750 0.293
Cu4 Cu 0.760 0.250 0.793
Te1 Te 0.042 0.750 0.160
Te2 Te 0.104 0.250 0.566
Te3 Te 0.213 0.750 0.787
Te4 Te 0.287 0.250 0.287
Te5 Te 0.396 0.750 0.066
Te6 Te 0.458 0.250 0.660
Te7 Te 0.542 0.750 0.340
Te8 Te 0.604 0.250 0.934
Te9 Te 0.713 0.750 0.713
Te10 Te 0.787 0.250 0.213
Te11 Te 0.896 0.750 0.434
Te12 Te 0.958 0.250 0.840

***

Record-wise E_tot values, in eV per atom: -5.154 -4.202 -5.055 -5.640 -5.683 -5.558 -5.643 -6.158 -6.025 -5.901 -4.129 -8.346 -6.852 -6.821 -4.025 -5.562 -6.451 -4.432 -4.924 -4.038